NaLiTa2: relaxed, PBE.

a = 4.6167 Å, b = 4.6167 Å, c = 4.6167 Å
α = 60.00°, β = 60.00°, γ = 60.00°
With the nearest neighbours (Å) after each atom.
Positions (direct):
Na 0.0000 0.0000 0.0000  8 Ta 2.83
Li 0.5000 0.5000 0.5000  8 Ta 2.83
Ta 0.2500 0.2500 0.2500  4 Li 2.83, 4 Na 2.83
Ta 0.7500 0.7500 0.7500  4 Na 2.83, 4 Li 2.83

Calculated values
density of states at the Fermi level = 0.637 states/eV per atom
E above lowest polymorph = 0.343 eV per atom
V = 70 Å³/f.u.
energy of formation from the pure elements = 1251 meV per atom